(1)
Here is crystalline Sm3AlZn8 at its relaxed geometry from Alexandria via LeMat-Bulk. Energies are from PBE-GGA.

abc: 5.508 5.508 9.368
angles: 72.90 72.90 60.00
Sites, in units of the cell vectors:
Sm1 0.378 0.378 0.867
Sm2 0.992 0.992 0.024
Sm3 0.504 0.504 0.487
Al1 0.869 0.869 0.393
Zn1 0.936 0.438 0.187
Zn2 0.437 0.940 0.683
Zn3 0.438 0.438 0.187
Zn4 0.940 0.940 0.683
Zn5 0.187 0.187 0.438
Zn6 0.690 0.690 0.931
Zn7 0.438 0.936 0.187
Zn8 0.940 0.437 0.683

Total energy (eV/atom): -2.5829
Symmetry: No. 160

---

(2)
Here is crystalline KCaCo2 at its relaxed geometry from Alexandria via LeMat-Bulk. Energies are from PBE-GGA.

abc: 4.349 4.348 4.538
angles: 90.00 90.00 90.00
Sites, in units of the cell vectors:
Ca1 0.000 0.500 0.500
Co1 0.000 0.000 0.000
Co2 0.500 0.500 0.000
K1 0.500 0.000 0.500

Total energy (eV/atom): -3.2577
Symmetry: No. 123
Energy above the most stable polymorph in this dataset (meV/atom): 746

---

(3)
Here is crystalline Cd8Pd5Au at its relaxed geometry from Alexandria via LeMat-Bulk. Energies are from PBE-GGA.

abc: 7.069 7.069 7.069
angles: 109.59 109.23 109.59
Sites, in units of the cell vectors:
Cd1 0.128 0.748 0.046
Cd2 0.954 0.082 0.702
Cd3 0.773 0.251 0.367
Cd4 0.633 0.407 0.884
Cd5 0.478 0.593 0.227
Cd6 0.620 0.918 0.872
Cd7 0.298 0.252 0.380
Cd8 0.116 0.749 0.522
Pd1 0.010 0.367 0.127
Pd2 0.873 0.883 0.240
Pd3 0.760 0.633 0.643
Pd4 0.500 0.000 0.500
Pd5 0.357 0.117 0.990
Au1 0.250 0.500 0.750

Total energy (eV/atom): -2.8551
Symmetry: No. 82

---

(4)
Here is crystalline Rb2BaNa2 at its relaxed geometry from Alexandria via LeMat-Bulk. Energies are from PBE-GGA.

abc: 5.917 5.917 9.890
angles: 72.59 72.59 90.00
Sites, in units of the cell vectors:
Na1 0.411 0.411 0.178
Na2 0.589 0.589 0.822
Ba1 0.000 0.000 0.000
Rb1 0.750 0.250 0.500
Rb2 0.250 0.750 0.500

Total energy (eV/atom): -1.1780
Symmetry: No. 139
Energy above the most stable polymorph in this dataset (meV/atom): 28

---

(5)
Here is crystalline Y2Si4IrPt3 at its relaxed geometry from Alexandria via LeMat-Bulk. Energies are from PBE-GGA.

abc: 4.114 4.114 10.117
angles: 90.00 90.00 90.00
Sites, in units of the cell vectors:
Y1 0.500 0.000 0.249
Y2 0.000 0.500 0.751
Si1 0.500 0.500 0.000
Si2 0.000 0.000 0.000
Si3 0.500 0.000 0.636
Si4 0.000 0.500 0.364
Ir1 0.500 0.500 0.500
Pt1 0.000 0.000 0.500
Pt2 0.500 0.000 0.873
Pt3 0.000 0.500 0.127

Total energy (eV/atom): -7.2565
Symmetry: No. 115
ΔE_f (raw) (kJ/mol of atoms): -105.8